Material: ThAlGa2Ag
Method: DFT, PBE-GGA
State: optimized geometry

abc: 5.9679 8.7608 8.8187
angles: 90.00 90.00 90.00
With the nearest neighbours (Å) after each atom.
Space group Cmme (No. 67)
One atom of each set of equivalent atoms:
Th 0.0000 0.2500 0.2411 (multiplicity 4)  6 Ga 3.14-3.23, 2 Al 3.16, 4 Ag 3.40
Al 0.0000 0.0000 0.5000 (multiplicity 4)  2 Ga 2.60
Ga 0.0000 0.1085 0.7750 (multiplicity 8)  1 Ga 2.48, 1 Al 2.60, 2 Ag 2.66
Ag 0.2500 0.0000 0.0000 (multiplicity 4)  4 Ga 2.66

Computed properties:
DOS at the Fermi energy = 14.07 states/eV per cell
formation energy = -0.017 eV/atom
calculated volume = 23.054 Å³/atom
M_tot = 0.00 μB/f.u.

Material: Ba2Li6Pb9
Method: DFT, PBE-GGA
State: optimized geometry

abc: 6.6040 6.6040 13.6264
angles: 90.00 90.00 120.00
With the nearest neighbours (Å) after each atom.
Space group P6/mmm (No. 191)
One atom of each set of equivalent atoms:
Ba 0.0000 0.0000 0.1684 (multiplicity 2)  6 Li 3.81, 12 Pb 4.00-4.02
Li 0.3333 0.6667 0.1658 (multiplicity 4)  6 Pb 2.96-2.98
Li 0.3333 0.6667 0.5000 (multiplicity 2)  6 Pb 2.96
Pb 0.0000 0.5000 0.0000 (multiplicity 3)  4 Li 2.96, 4 Pb 3.30
Pb 0.0000 0.5000 0.3335 (multiplicity 6)  4 Li 2.96-2.98, 4 Pb 3.30

Computed properties:
DOS at the Fermi energy = 13.97 states/eV per cell
formation energy = -0.234 eV/atom
calculated volume = 30.275 Å³/atom
M_tot = 0.00 μB/f.u.

Material: H3SeI
Method: DFT, PBE-GGA
State: optimized geometry

abc: 5.7739 5.7739 12.1601
angles: 90.00 90.00 120.00
With the nearest neighbours (Å) after each atom.
Space group R3m (No. 160, hexagonal axes)
One atom of each set of equivalent atoms:
H 0.0752 0.5376 0.0000 (multiplicity 9)  1 Se 1.55
Se 0.0000 0.0000 0.2624 (multiplicity 3)  3 H 1.55
I 0.0000 0.0000 0.7703 (multiplicity 3)  3 H 2.40

Computed properties:
DOS at the Fermi energy = 0.00 states/eV per cell
energy relative to the lowest polymorph listed for this composition = 0 meV/atom
calculated volume = 23.406 Å³/atom
M_tot = 0.00 μB/f.u.